1.
ZrPb2Au PBE-GGA optimized geometry; excess energy over the best structure of this formula in the dataset = 155 meV/atom; total DFT energy (no corrections) = -4.83 eV per atom; E_form = -21.6 meV/atom
1.0
-0.9851 5.6296 -1.1206
-5.4991 1.3230 -1.3888
2.5977 -2.9887 4.2706
Pb Au Zr
2 1 1
direct
0.0000 0.0000 0.0000 Pb
0.5000 0.5000 0.0000 Pb
0.7500 0.2500 0.5000 Au
0.2500 0.7500 0.5000 Zr

---

2.
Cs2Tl3Hg4Sb PBE-GGA optimized geometry; energy relative to the elements, uncorrected = -0.146 eV per atom; total DFT energy (no corrections) = -1.56 eV per atom
1.0
-0.9892 -3.1178 -4.1722
-3.2132 -2.9770 2.9865
-10.0100 7.5356 -3.2580
Hg Tl Cs Sb
4 3 2 1
direct
0.0000 0.0000 0.0000 Hg
0.5000 0.0000 0.6330 Hg
0.0000 0.5000 0.3670 Hg
0.5000 0.5000 0.0000 Hg
0.5000 0.0000 0.8765 Tl
0.0000 0.0000 0.5000 Tl
0.0000 0.5000 0.1235 Tl
0.0000 0.5000 0.7469 Cs
0.5000 0.0000 0.2531 Cs
0.5000 0.5000 0.5000 Sb